Below is an optimized crystal structure of Cs3GaTc, with properties calculated at the PBE level.

Energy above the most stable polymorph in this dataset, kcal/mol of atoms: 0.000
ΔH_f (0 K), meV per atom: 1250
Total magnetic moment, μB per atom: 0.832
Symmetry: No. 221
Electronic total energy, eV per cell: -9.7

Unit cell a=7.0283 b=7.0283 c=7.0283 alpha=90.00 beta=90.00 gamma=90.00
Each line ends with the local moment (μB).
Fractional positions:
Tc  0.5000  0.5000  0.5000  3.53
Cs  0.0000  0.5000  0.0000  0.00
Cs  0.0000  0.0000  0.5000  -0.01
Cs  0.5000  0.0000  0.0000  0.00
Ga  0.0000  0.0000  0.0000  0.01